Compound: ScAgW2
Source: Alexandria
Functional: GGA-PBE
Structure: optimized geometry Values from VASP.

Cell and atoms, written as Quantum ESPRESSO input:
```
&SYSTEM
  ibrav = 0, nat = 4, ntyp = 3
/
ATOMIC_SPECIES
Sc 44.96 Sc.upf
Ag 107.87 Ag.upf
W 183.84 W.upf
ATOMIC_POSITIONS angstrom
Sc 0.0000 0.0000 0.0000
Ag 1.0303 0.0000 2.5581
W 0.2967 2.4717 3.8845
W 1.7638 2.4717 1.2318
CELL_PARAMETERS angstrom
2.7837 0.0000 0.0000
0.0000 4.9435 0.0000
-0.7231 0.0000 5.1163
```

Properties
The value obtained for the total energy is -8.39 eV per atom. As for the symmetry: No. 10. As for the size of the total moment: 0.000 μB per cell. The value obtained for the formation energy is 0.378 eV/atom.